A relaxed AcTbPm4Pr2 crystal, computed with PBE.

Results
Final energy   -68.529 eV per cell
Energy of formation   0.379 eV/atom

Cell lengths 9.7686, 9.7686, 7.0576 Å; angles 111.01, 111.01, 88.55 degrees
Last column: nearest neighbours and their distance in Å.
Positions (direct):
Ac  0.0000  0.5000  0.0000  6 Pm 3.52-3.56, 2 Pr 3.53
Ac  0.5000  0.0000  0.5000  6 Pm 3.52-3.56, 2 Pr 3.53
Tb  0.0000  0.0000  0.0000  6 Pm 3.34-3.54, 2 Tb 3.53
Tb  0.0000  0.0000  0.5000  6 Pm 3.34-3.54, 2 Tb 3.53
Pm  0.2376  0.2525  0.4690  3 Pr 3.31-3.66, 2 Tb 3.37-3.54, 1 Ac 3.52, 2 Pm 3.53
Pm  0.2442  0.7550  0.5139  1 Pm 3.33, 1 Tb 3.34, 3 Pr 3.44-3.49, 2 Ac 3.55-3.56
Pm  0.2450  0.7558  0.9861  1 Pm 3.33, 1 Tb 3.34, 3 Pr 3.44-3.49, 2 Ac 3.55-3.56
Pm  0.2525  0.2376  0.9690  3 Pr 3.31-3.66, 2 Tb 3.37-3.54, 1 Ac 3.52, 2 Pm 3.53
Pm  0.7475  0.7624  0.0310  3 Pr 3.31-3.66, 2 Tb 3.37-3.54, 1 Ac 3.52, 2 Pm 3.53
Pm  0.7550  0.2442  0.0139  1 Pm 3.33, 1 Tb 3.34, 3 Pr 3.44-3.49, 2 Ac 3.55-3.56
Pm  0.7558  0.2450  0.4861  1 Pm 3.33, 1 Tb 3.34, 3 Pr 3.44-3.49, 2 Ac 3.55-3.56
Pm  0.7624  0.7475  0.5310  3 Pr 3.31-3.66, 2 Tb 3.37-3.54, 1 Ac 3.52, 2 Pm 3.53
Pr  0.0000  0.5000  0.5000  6 Pm 3.31-3.47, 2 Ac 3.53
Pr  0.5000  0.0000  0.0000  6 Pm 3.31-3.47, 2 Ac 3.53
Pr  0.5000  0.5000  0.0000  6 Pm 3.46-3.66, 2 Pr 3.53
Pr  0.5000  0.5000  0.5000  6 Pm 3.46-3.66, 2 Pr 3.53